The following is a DFT calculation (PBE) of CdPd2Pt2 after structural relaxation.

## Properties
calculated density = 14.62 Mg/m³
size of the total moment = 0.001 μB/f.u.
ΔE to the lowest computed polymorph = 0 meV per atom
energy relative to the elements = -0.18 eV/atom
space group = Cm

```
5
Lattice="4.456 -2.027 0.000 4.456 2.027 0.000 -4.441 0.000 4.497" Properties=species:S:1:pos:R:3 pbc="T T T"
Cd 0.000 0.000 0.000
Pd 2.663 0.000 0.875
Pd 5.364 0.000 1.796
Pt -0.904 0.000 2.688
Pt 1.797 0.000 3.518
```